RbTl2SbO6 PBE-GGA relaxed; symmetry = R3 (146); spin magnetization = 0.000 μB per cell; E_form (uncorrected) = -1.038 eV per atom
1.0
5.888 0.000 0.000
2.944 5.099 0.000
2.944 1.700 5.282
O Rb Tl Sb
6 1 2 1
Direct
0.337 0.696 0.775
0.696 0.192 0.775
0.192 0.337 0.775
0.957 0.561 0.221
0.261 0.957 0.221
0.561 0.261 0.221
0.791 0.792 0.626
0.014 0.014 0.959
0.529 0.529 0.414
0.324 0.324 0.028



NaSr2MgP PBE-GGA relaxed; symmetry = P4/mmm (123); ΔE_f = -1.75 eV/f.u.; spin magnetization = 0.000 μB per cell
1.0
-3.016 -5.166 -0.545
0.349 -0.830 5.939
-4.393 2.501 0.607
Sr Na Mg P
2 1 1 1
Direct
0.000 0.500 0.000
0.500 0.000 0.000
0.500 0.500 0.500
0.000 0.000 0.500
0.000 0.000 0.000



Zn2SiIr PBE-GGA relaxed; symmetry = P4/mmm (123); spin magnetization = 0.000 μB per cell; E_form (uncorrected) = -0.099 eV per atom
1.0
-2.980 0.214 -1.658
1.389 -1.569 -2.699
-1.342 -4.370 1.850
Ir Zn Si
1 2 1
Direct
0.500 0.500 0.250
0.000 0.000 0.498
0.000 0.000 0.002
0.500 0.500 0.750



LiSn3Rh PBE-GGA relaxed; symmetry = C2/m (12); ΔE_f = -1.64 eV/f.u.; spin magnetization = 0.000 μB per cell
1.0
5.765 0.000 -0.851
0.000 6.182 0.000
-2.021 -3.091 6.453
Sn Li Rh
6 2 2
Direct
0.381 0.864 0.260
0.619 0.136 0.740
0.381 0.395 0.260
0.939 0.187 0.374
0.061 0.813 0.626
0.619 0.605 0.740
0.826 0.579 0.157
0.174 0.421 0.843
0.000 0.000 0.000
0.500 0.000 0.000